# UHgPb2S6

Crystalline UHgPb2S6 at its relaxed geometry (PBE, Alexandria).

Output
M_tot	0.00	μB per formula unit
calculated total energy	-5.025	eV per atom
SG	R3, No. 146
volume	28.5	Å³ per atom
formation energy without anion corrections	-648	meV/atom

The structure in extended XYZ format:
```
10
Lattice="-6.530 1.886 2.189 -4.948 -5.007 1.203 -1.895 -1.475 7.263" Properties=species:S:1:pos:R:3 pbc="T T T"
U -3.812 -1.043 1.174
Hg -10.051 -3.442 7.925
Pb -6.877 -2.255 4.722
Pb -1.950 -1.462 7.090
S -5.262 -0.405 3.123
S -6.777 -4.809 3.288
S -9.639 -1.316 4.436
S -7.674 -3.785 7.189
S -6.602 -0.417 7.090
S -4.367 -3.010 6.202
```



# AsI

Crystalline AsI at its relaxed geometry (PBE, Alexandria).

Output
M_tot	0.00	μB per formula unit
calculated total energy	-3.144	eV per atom
SG	P2_1, No. 4
volume	40.5	Å³ per atom
formation energy without anion corrections	-44	meV/atom

The structure in extended XYZ format:
```
4
Lattice="6.443 0.000 -0.001 0.000 3.876 0.000 -0.258 0.000 6.485" Properties=species:S:1:pos:R:3 pbc="T T T"
I 4.472 0.321 4.424
I 1.713 2.259 2.060
As 0.186 3.502 5.784
As 5.998 1.564 0.700
```



# Li2Cd2Ge

Crystalline Li2Cd2Ge at its relaxed geometry (PBE, Alexandria).

Output
M_tot	0.00	μB per formula unit
calculated total energy	-2.143	eV per atom
SG	P4/mbm, No. 127
calculated formation energy	-0.09	eV per atom
volume	18.5	Å³ per atom
relative energy among the computed polymorphs	73	meV/atom

The structure in extended XYZ format:
```
10
Lattice="6.669 0.000 0.000 0.000 6.669 0.000 0.000 0.000 4.162" Properties=species:S:1:pos:R:3 pbc="T T T"
Ge 0.000 0.000 0.000
Ge 3.334 3.334 0.000
Li 2.383 5.717 0.000
Li 5.717 4.286 0.000
Li 4.286 0.952 0.000
Li 0.952 2.383 0.000
Cd 1.066 4.400 2.081
Cd 4.400 5.603 2.081
Cd 5.603 2.268 2.081
Cd 2.268 1.066 2.081
```



# LiNdGdAl

Crystalline LiNdGdAl at its relaxed geometry (PBE, Alexandria).

Output
M_tot	7.56	μB per formula unit
calculated total energy	-6.324	eV per atom
SG	F-43m, No. 216
calculated formation energy	-0.20	eV per atom
volume	25.8	Å³ per atom

The structure in extended XYZ format:
```
4
Lattice="-3.669 1.615 -3.409 -4.149 -3.062 -1.047 -4.779 1.364 1.728" Properties=species:S:1:pos:R:3 pbc="T T T"
Gd -9.448 -0.063 -2.045
Nd -3.149 -0.021 -0.682
Al -6.298 -0.042 -1.364
Li 0.000 0.000 0.000
```



# SrLi4Pt

Crystalline SrLi4Pt at its relaxed geometry (PBE, Alexandria).

Output
M_tot	0.00	μB per formula unit
calculated total energy	-2.843	eV per atom
SG	C2/c, No. 15
calculated formation energy	-0.28	eV per atom
volume	21.2	Å³ per atom
relative energy among the computed polymorphs	12	meV/atom

The structure in extended XYZ format:
```
12
Lattice="-0.179 0.844 -7.941 -0.508 -5.255 -0.551 -6.024 -1.242 4.023" Properties=species:S:1:pos:R:3 pbc="T T T"
Sr -6.546 -4.514 -2.688
Sr -0.164 -1.138 -1.781
Li -4.649 -1.862 -0.602
Li -1.828 -1.056 -4.605
Li -2.061 -3.791 -3.867
Li -4.882 -4.596 0.135
Li -4.312 -4.634 -5.163
Li -2.684 -3.489 -1.063
Li -2.398 -1.018 0.694
Li -4.026 -2.163 -3.406
Pt -3.101 -0.199 -1.959
Pt -3.266 -3.248 1.736
```



# SrTh2US8

Crystalline SrTh2US8 at its relaxed geometry (PBE, Alexandria).

Output
M_tot	0.00	μB per formula unit
calculated total energy	-6.676	eV per atom
SG	P2/m, No. 10
volume	29.0	Å³ per atom
formation energy without anion corrections	-1607	meV/atom

The structure in extended XYZ format:
```
12
Lattice="-3.404 -3.918 3.878 4.406 -4.466 -0.654 4.139 3.091 6.758" Properties=species:S:1:pos:R:3 pbc="T T T"
Sr 2.069 1.546 3.379
Th 3.600 -1.877 6.671
Th 1.542 -3.416 3.310
U 0.000 0.000 0.000
S 3.754 -3.423 1.562
S 5.062 -2.864 8.916
S -0.978 -3.635 4.557
S 1.387 -1.870 8.419
S 0.079 -2.429 1.064
S 6.119 -1.658 5.424
S 3.092 -4.202 5.384
S 2.050 -1.091 4.597
```



# NaI2Br2

Crystalline NaI2Br2 at its relaxed geometry (PBE, Alexandria).

Output
M_tot	0.90	μB per formula unit
calculated total energy	-1.804	eV per atom
SG	I4/mmm, No. 139
volume	39.4	Å³ per atom
relative energy among the computed polymorphs	122	meV/atom
formation energy without anion corrections	-251	meV/atom

The structure in extended XYZ format:
```
5
Lattice="-3.464 1.835 -1.403 -1.700 -3.737 -0.690 -6.848 -0.955 9.483" Properties=species:S:1:pos:R:3 pbc="T T T"
I -3.190 -0.952 0.454
I -8.822 -1.906 6.936
Na 0.000 0.000 0.000
Br -6.447 -0.036 3.517
Br -5.565 -2.822 3.873
```



# CaTlSn6

Crystalline CaTlSn6 at its relaxed geometry (PBE, Alexandria).

Output
M_tot	0.00	μB per formula unit
calculated total energy	-3.736	eV per atom
SG	P6/mmm, No. 191
calculated formation energy	-0.19	eV per atom
volume	27.9	Å³ per atom

The structure in extended XYZ format:
```
8
Lattice="-6.338 0.627 -0.161 -3.478 -3.758 -3.792 -0.537 -4.245 4.702" Properties=species:S:1:pos:R:3 pbc="T T T"
Ca 0.000 0.000 0.000
Tl -0.269 -2.122 2.351
Sn -5.042 -2.622 -0.808
Sn -1.873 -2.934 -0.726
Sn -8.480 -4.442 1.475
Sn -5.311 -4.754 1.557
Sn -3.303 -0.741 1.088
Sn -3.572 -2.876 3.453
```



# TaAl3Se

Crystalline TaAl3Se at its relaxed geometry (PBE, Alexandria).

Output
M_tot	1.79	μB per formula unit
calculated total energy	-4.263	eV per atom
SG	Pm-3m, No. 221
volume	26.8	Å³ per atom
relative energy among the computed polymorphs	12	meV/atom
formation energy without anion corrections	1050	meV/atom

The structure in extended XYZ format:
```
5
Lattice="5.118 0.000 0.000 0.000 5.118 0.000 0.000 0.000 5.118" Properties=species:S:1:pos:R:3 pbc="T T T"
Al 0.000 2.559 0.000
Al 0.000 0.000 2.559
Al 2.559 0.000 0.000
Se 2.559 2.559 2.559
Ta 0.000 0.000 0.000
```



# LaZr4Se

Crystalline LaZr4Se at its relaxed geometry (PBE, Alexandria).

Output
M_tot	0.00	μB per formula unit
calculated total energy	-6.836	eV per atom
SG	F-43m, No. 216
volume	25.6	Å³ per atom
formation energy without anion corrections	265	meV/atom

The structure in extended XYZ format:
```
6
Lattice="0.000 4.250 4.250 4.250 0.000 4.250 4.250 4.250 0.000" Properties=species:S:1:pos:R:3 pbc="T T T"
La 6.375 6.375 6.375
Zr 3.216 5.284 5.284
Zr 5.284 5.284 3.216
Zr 5.284 3.216 5.284
Zr 3.216 3.216 3.216
Se 0.000 0.000 0.000
```



# CeNdTl2S4

Crystalline CeNdTl2S4 at its relaxed geometry (PBE, Alexandria).

Output
M_tot	1.01	μB per formula unit
calculated total energy	-5.418	eV per atom
SG	P2/m, No. 10
volume	28.5	Å³ per atom
formation energy without anion corrections	-1425	meV/atom

The structure in extended XYZ format:
```
8
Lattice="-1.707 1.858 3.351 -3.908 -5.975 1.322 6.824 -0.675 3.851" Properties=species:S:1:pos:R:3 pbc="T T T"
Ce -2.808 -2.058 2.337
Nd 0.000 0.000 0.000
Tl 2.558 0.592 3.601
Tl 1.458 -3.325 2.587
S -0.384 -0.613 2.770
S 1.593 -4.179 5.755
S 4.399 -2.133 3.424
S -1.483 -4.517 1.749
```



# FeCoCl2

Crystalline FeCoCl2 at its relaxed geometry (PBE, Alexandria).

Output
M_tot	5.02	μB per formula unit
calculated total energy	-4.513	eV per atom
SG	Pmmm, No. 47
volume	16.7	Å³ per atom
formation energy without anion corrections	303	meV/atom

The structure in extended XYZ format:
```
4
Lattice="3.049 0.000 0.000 0.000 5.816 0.000 0.000 0.000 3.768" Properties=species:S:1:pos:R:3 pbc="T T T"
Co 1.524 0.000 1.884
Fe 0.000 2.908 1.884
Cl 0.000 0.000 0.000
Cl 1.524 2.908 0.000
```



# TbDyGaIr

Crystalline TbDyGaIr at its relaxed geometry (PBE, Alexandria).

Output
M_tot	0.00	μB per formula unit
calculated total energy	-6.021	eV per atom
SG	Amm2, No. 38
calculated formation energy	-0.74	eV per atom
volume	22.7	Å³ per atom
relative energy among the computed polymorphs	0	meV/atom

The structure in extended XYZ format:
```
4
Lattice="-1.967 -1.992 2.819 3.716 -1.223 1.728 0.985 5.364 1.678" Properties=species:S:1:pos:R:3 pbc="T T T"
Tb 0.000 1.253 0.885
Dy 0.875 1.543 4.501
Ga 0.875 -0.997 2.705
Ir 0.001 3.722 2.631
```



# InW2Se

Crystalline InW2Se at its relaxed geometry (PBE, Alexandria).

Output
M_tot	0.00	μB per formula unit
calculated total energy	-7.019	eV per atom
SG	P4/mmm, No. 123
volume	18.4	Å³ per atom
relative energy among the computed polymorphs	712	meV/atom
formation energy without anion corrections	1013	meV/atom

The structure in extended XYZ format:
```
4
Lattice="4.690 0.000 0.000 0.000 3.957 0.000 0.000 0.000 3.957" Properties=species:S:1:pos:R:3 pbc="T T T"
In 2.345 1.979 0.000
Se 2.345 0.000 1.979
W 0.000 0.000 0.000
W 0.000 1.979 1.979
```



# DyTm4Zn2

Crystalline DyTm4Zn2 at its relaxed geometry (PBE, Alexandria).

Output
M_tot	0.00	μB per formula unit
calculated total energy	-3.444	eV per atom
SG	R-3m, No. 166
calculated formation energy	0.13	eV per atom
volume	28.7	Å³ per atom

The structure in extended XYZ format:
```
7
Lattice="4.875 0.000 0.000 2.438 4.222 0.000 2.438 1.407 9.772" Properties=species:S:1:pos:R:3 pbc="T T T"
Dy 4.875 2.815 4.886
Tm 7.313 4.222 8.752
Tm 7.313 4.222 2.953
Tm 2.438 1.407 1.020
Tm 2.438 1.407 6.819
Zn 4.875 2.815 1.948
Zn 4.875 2.815 7.824
```



# LiTbHgGe

Crystalline LiTbHgGe at its relaxed geometry (PBE, Alexandria).

Output
M_tot	0.00	μB per formula unit
calculated total energy	-3.372	eV per atom
SG	F-43m, No. 216
calculated formation energy	-0.51	eV per atom
volume	21.5	Å³ per atom

The structure in extended XYZ format:
```
4
Lattice="-4.593 -1.608 0.944 -2.073 -3.432 -2.915 -0.714 -4.599 1.708" Properties=species:S:1:pos:R:3 pbc="T T T"
Ge -1.845 -2.410 -0.066
Tb 0.000 0.000 0.000
Hg -5.535 -7.229 -0.197
Li -3.690 -4.819 -0.131
```



# Pu2MgBeO8

Crystalline Pu2MgBeO8 at its relaxed geometry (PBE, Alexandria).

Output
M_tot	4.00	μB per formula unit
calculated total energy	-8.555	eV per atom
SG	Cmmm, No. 65
volume	11.8	Å³ per atom
formation energy without anion corrections	-2417	meV/atom

The structure in extended XYZ format:
```
12
Lattice="4.526 -0.094 -0.003 -0.055 4.527 -0.005 0.004 0.007 6.885" Properties=species:S:1:pos:R:3 pbc="T T T"
Pu 2.239 2.222 5.194
Pu 2.237 2.218 1.683
Mg 0.002 0.004 3.443
Be 0.000 0.000 0.000
O 0.891 3.575 1.674
O 3.272 3.244 -0.005
O 3.583 0.861 1.676
O 3.585 0.864 5.204
O 1.200 1.189 -0.002
O 0.893 3.579 5.202
O 3.108 3.082 3.438
O 1.368 1.358 3.440
```



# LiReO3

Crystalline LiReO3 at its relaxed geometry (PBE, Alexandria).

Output
M_tot	0.00	μB per formula unit
calculated total energy	-7.528	eV per atom
SG	R3c, No. 161
volume	10.4	Å³ per atom
formation energy without anion corrections	-1681	meV/atom

The structure in extended XYZ format:
```
10
Lattice="5.426 0.003 0.002 2.994 4.525 0.002 2.994 1.610 4.229" Properties=species:S:1:pos:R:3 pbc="T T T"
Li 2.473 1.330 0.917
Li 8.181 4.399 3.034
Re 5.735 3.084 2.127
Re 0.028 0.015 0.010
O 7.412 3.319 1.109
O 5.935 4.962 2.708
O 4.699 3.672 0.594
O 4.142 2.894 3.221
O 5.654 1.229 1.561
O 6.856 2.583 3.675
```



# Nb2ZnTcSn

Crystalline Nb2ZnTcSn at its relaxed geometry (PBE, Alexandria).

Output
M_tot	1.63	μB per formula unit
calculated total energy	-5.789	eV per atom
SG	P4/mmm, No. 123
calculated formation energy	1.37	eV per atom
volume	20.8	Å³ per atom

The structure in extended XYZ format:
```
5
Lattice="4.751 0.000 0.000 0.000 4.612 0.000 0.000 0.000 4.751" Properties=species:S:1:pos:R:3 pbc="T T T"
Zn 0.000 0.000 0.000
Nb 0.000 0.000 2.376
Nb 2.376 0.000 0.000
Sn 0.000 2.306 0.000
Tc 2.376 2.306 2.376
```



# NiBI3

Crystalline NiBI3 at its relaxed geometry (PBE, Alexandria).

Output
M_tot	1.32	μB per formula unit
calculated total energy	-2.265	eV per atom
SG	Pm-3m, No. 221
volume	26.5	Å³ per atom
relative energy among the computed polymorphs	148	meV/atom
formation energy without anion corrections	1157	meV/atom

The structure in extended XYZ format:
```
5
Lattice="5.098 0.000 0.000 0.000 5.098 0.000 0.000 0.000 5.098" Properties=species:S:1:pos:R:3 pbc="T T T"
I 0.000 2.549 0.000
I 0.000 0.000 2.549
I 2.549 0.000 0.000
Ni 2.549 2.549 2.549
B 0.000 0.000 0.000
```



# LaTe2Os

Crystalline LaTe2Os at its relaxed geometry (PBE, Alexandria).

Output
M_tot	0.10	μB per formula unit
calculated total energy	-5.458	eV per atom
SG	Fmmm, No. 69
volume	26.9	Å³ per atom
relative energy among the computed polymorphs	586	meV/atom
formation energy without anion corrections	152	meV/atom

The structure in extended XYZ format:
```
4
Lattice="-4.329 -1.189 1.416 2.924 -4.805 -1.311 0.894 -2.368 3.968" Properties=species:S:1:pos:R:3 pbc="T T T"
La 1.909 -3.587 1.329
Os -0.703 -2.997 0.053
Te 0.000 0.000 0.000
Te -1.717 -1.779 2.692
```



# TiVOs3

Crystalline TiVOs3 at its relaxed geometry (PBE, Alexandria).

Output
M_tot	0.00	μB per formula unit
calculated total energy	-8.922	eV per atom
SG	Pm-3m, No. 221
calculated formation energy	1.22	eV per atom
volume	17.6	Å³ per atom
relative energy among the computed polymorphs	0	meV/atom

The structure in extended XYZ format:
```
5
Lattice="-3.323 -2.197 -1.985 -1.919 -0.675 3.959 -2.255 3.811 -0.444" Properties=species:S:1:pos:R:3 pbc="T T T"
V 0.000 0.000 0.000
Os -0.959 -0.337 1.979
Os -1.128 1.906 -0.222
Os -1.661 -1.099 -0.993
Ti -3.748 0.470 0.765
```



# Pd2SeCl

Crystalline Pd2SeCl at its relaxed geometry (PBE, Alexandria).

Output
M_tot	0.00	μB per formula unit
calculated total energy	-4.233	eV per atom
SG	P-1, No. 2
volume	20.0	Å³ per atom
relative energy among the computed polymorphs	0	meV/atom
formation energy without anion corrections	-303	meV/atom

The structure in extended XYZ format:
```
8
Lattice="3.499 -0.008 0.021 -0.018 7.076 0.099 -1.787 -2.385 6.416" Properties=species:S:1:pos:R:3 pbc="T T T"
Pd -0.686 4.482 4.949
Pd -0.649 -0.136 2.527
Pd 1.106 2.253 2.524
Pd 1.087 -0.205 4.846
Se 1.075 5.023 3.273
Se -0.655 1.712 4.200
Cl 2.839 6.275 0.250
Cl 2.866 2.837 0.829
```



# Pr2Nd2Zn3

Crystalline Pr2Nd2Zn3 at its relaxed geometry (PBE, Alexandria).

Output
M_tot	0.00	μB per formula unit
calculated total energy	-3.449	eV per atom
SG	R-3m, No. 166
calculated formation energy	-0.18	eV per atom
volume	27.9	Å³ per atom

The structure in extended XYZ format:
```
7
Lattice="-8.747 -0.912 -1.279 -7.473 -3.966 2.719 -8.111 1.133 3.449" Properties=species:S:1:pos:R:3 pbc="T T T"
Pr -3.094 -0.476 0.622
Pr -21.238 -3.269 4.267
Nd -9.210 -1.418 1.851
Nd -15.122 -2.327 3.039
Zn 0.000 0.000 0.000
Zn -6.161 -0.948 1.238
Zn -18.170 -2.797 3.651
```



# Pr2BeGa3Pt4

Crystalline Pr2BeGa3Pt4 at its relaxed geometry (PBE, Alexandria).

Output
M_tot	0.00	μB per formula unit
calculated total energy	-5.548	eV per atom
SG	P-4m2, No. 115
calculated formation energy	-0.89	eV per atom
volume	18.8	Å³ per atom

The structure in extended XYZ format:
```
10
Lattice="-2.784 -1.326 2.874 3.148 -1.555 2.333 0.819 9.255 5.064" Properties=species:S:1:pos:R:3 pbc="T T T"
Pr -1.180 1.734 2.749
Pr 2.181 6.080 4.919
Be 0.592 3.187 5.135
Ga 0.410 4.628 2.532
Ga -0.685 7.323 5.807
Ga 1.687 0.492 1.861
Pt 0.182 -1.441 2.603
Pt 0.000 0.000 0.000
Pt -0.881 5.107 4.594
Pt 1.883 2.708 3.073
```